# 1
Material: PuGaBr6
Method: DFT, PBE
State: relaxed

The calculation puts the magnetization at 5.0 μB per formula unit. The value obtained for the total energy is -35.59 eV/cell.

Cell lengths 6.8413, 6.8416, 7.4301 Å; angles 62.59, 62.58, 60.00 degrees
Site moments in Bohr magnetons follow the coordinates.
Sites, in units of the cell vectors:
Br (0.1101, 0.4193, 0.7366)  -0.03
Br (0.5807, 0.2660, 0.2635)  -0.03
Br (0.4193, 0.7340, 0.7365)  -0.03
Br (0.7340, 0.1102, 0.7365)  -0.03
Pu (0.0000, 0.0000, 0.0000)  5.04
Br (0.8899, 0.5807, 0.2634)  -0.03
Br (0.2660, 0.8898, 0.2635)  -0.03
Ga (0.5000, 0.5000, 0.5000)  0.05



# 2
Material: RbGe3Pt2
Method: DFT, PBE
State: relaxed

As for the formation energy: -0.193 eV per atom. The calculation puts the magnetization at 0.0 μB per formula unit. The value obtained for the total energy is -56.12 eV/cell.

Cell lengths 8.5232, 8.5232, 7.9052 Å; angles 57.38, 57.38, 60.00 degrees
Sites, in units of the cell vectors:
Pt (0.0000, 0.0000, 0.0000)
Pt (0.5000, 0.5000, 0.0000)
Pt (0.5000, 0.0000, 0.0000)
Ge (0.3219, 0.8036, 0.0710)
Pt (0.0000, 0.5000, 0.0000)
Ge (0.8036, 0.3219, 0.0710)
Rb (0.1927, 0.1927, 0.4219)
Ge (0.1964, 0.1964, 0.9290)
Ge (0.1964, 0.6781, 0.9290)
Ge (0.6781, 0.1964, 0.9290)
Rb (0.8073, 0.8073, 0.5781)
Ge (0.8036, 0.8036, 0.0710)



# 3
Material: CoTcPt2
Method: DFT, PBE
State: relaxed

As for the formation energy: -0.074 eV per atom. The calculation puts the magnetization at 1.6 μB per formula unit. The value obtained for the total energy is -29.85 eV/cell. The energy above the most stable polymorph in this dataset is 27 meV per atom.

Cell lengths 4.6970, 4.6970, 4.7472 Å; angles 80.64, 80.64, 33.49 degrees
Site moments in Bohr magnetons follow the coordinates.
Sites, in units of the cell vectors:
Co (0.2470, 0.2470, 0.2520)  1.58
Pt (0.9951, 0.9951, 0.0163)  0.10
Pt (0.7535, 0.7535, 0.7322)  0.10
Tc (0.5044, 0.5044, 0.4994)  -0.10



# 4
Material: Ca3Tb2PaN6
Method: DFT, PBE
State: relaxed

The calculation puts the magnetization at 0.9 μB per formula unit. The value obtained for the total energy is -91.00 eV/cell.

Cell lengths 6.1028, 6.1028, 6.0834 Å; angles 99.63, 99.63, 120.02 degrees
Site moments in Bohr magnetons follow the coordinates.
Sites, in units of the cell vectors:
N (0.7573, 0.7573, 0.2204)  0.10
N (0.0747, 0.3920, 0.2234)  0.09
N (0.6080, 0.9253, 0.7766)  0.09
Tb (0.3332, 0.6668, 0.0000)  0.00
N (0.9253, 0.6080, 0.7766)  0.09
Ca (0.1678, 0.8322, 0.5000)  0.01
Ca (0.8322, 0.1678, 0.5000)  0.01
N (0.2427, 0.2427, 0.7796)  0.10
N (0.3920, 0.0747, 0.2234)  0.09
Tb (0.6668, 0.3332, 0.0000)  0.00
Pa (0.0000, 0.0000, 0.0000)  0.08
Ca (0.5000, 0.5000, 0.5000)  0.01



# 5
Material: BeAlF2
Method: DFT, PBE
State: relaxed

The calculation puts the magnetization at 0.9 μB per formula unit. The value obtained for the total energy is -13.53 eV/cell. The energy above the most stable polymorph in this dataset is 1430 meV per atom.

Cell lengths 4.1776, 4.1776, 4.1776 Å; angles 60.00, 60.00, 60.00 degrees
Site moments in Bohr magnetons follow the coordinates.
Sites, in units of the cell vectors:
F (0.7500, 0.7500, 0.7500)  0.07
Al (0.5000, 0.5000, 0.5000)  0.05
Be (0.0000, 0.0000, 0.0000)  0.27
F (0.2500, 0.2500, 0.2500)  0.07



# 6
Material: YTlIr4
Method: DFT, PBE
State: relaxed

As for the formation energy: -0.224 eV per atom. The calculation puts the magnetization at 0.0 μB per formula unit. The value obtained for the total energy is -45.62 eV/cell.

Cell lengths 5.3514, 5.3514, 5.3514 Å; angles 60.00, 60.00, 60.00 degrees
Sites, in units of the cell vectors:
Tl (0.7500, 0.7500, 0.7500)
Y (0.0000, 0.0000, 0.0000)
Ir (0.8743, 0.3752, 0.3752)
Ir (0.3752, 0.3752, 0.3752)
Ir (0.3752, 0.3752, 0.8743)
Ir (0.3752, 0.8743, 0.3752)



# 7
Material: CeSiGe2
Method: DFT, PBE
State: relaxed

The calculation puts the magnetization at 0.2 μB per formula unit. The value obtained for the total energy is -19.13 eV/cell. The energy above the most stable polymorph in this dataset is 809 meV per atom.

Cell lengths 4.8628, 4.8628, 7.0852 Å; angles 69.93, 69.93, 60.00 degrees
Site moments in Bohr magnetons follow the coordinates.
Sites, in units of the cell vectors:
Ce (0.5000, 0.5000, 0.5000)  0.29
Ge (0.1156, 0.1156, 0.6533)  -0.01
Ge (0.8844, 0.8844, 0.3467)  -0.01
Si (0.0000, 0.0000, 0.0000)  -0.01



# 8
Material: TlSbPb
Method: DFT, PBE
State: relaxed

The calculation puts the magnetization at 0.0 μB per formula unit. The value obtained for the total energy is -10.16 eV/cell. The energy above the most stable polymorph in this dataset is 43 meV per atom.

Cell lengths 5.5891, 5.5891, 3.4105 Å; angles 90.00, 90.00, 120.00 degrees
Sites, in units of the cell vectors:
Sb (0.6667, 0.3333, 0.1763)
Tl (0.3333, 0.6667, 0.6645)
Pb (0.0000, 0.0000, 0.1592)



# 9
Material: NdRe2B6
Method: DFT, PBE
State: relaxed

As for the formation energy: -0.377 eV per atom. The calculation puts the magnetization at 0.0 μB per formula unit. The value obtained for the total energy is -73.12 eV/cell.

Cell lengths 3.1787, 5.7340, 5.7340 Å; angles 73.10, 73.91, 73.91 degrees
Sites, in units of the cell vectors:
Nd (0.5000, 0.5000, 0.5000)
B (0.8090, 0.4332, 0.9487)
B (0.0000, 0.1534, 0.8466)
Re (0.6601, 0.8399, 0.8399)
Re (0.3399, 0.1601, 0.1601)
B (0.1910, 0.5668, 0.0513)
B (0.1910, 0.0513, 0.5668)
B (0.8090, 0.9487, 0.4332)
B (0.0000, 0.8466, 0.1534)



# 10
Material: PmPr4Dy2Ho2
Method: DFT, PBE
State: relaxed

As for the formation energy: 0.019 eV per atom. The calculation puts the magnetization at 0.0 μB per formula unit. The value obtained for the total energy is -42.06 eV/cell.

Cell lengths 5.1221, 8.1183, 8.0993 Å; angles 107.36, 90.00, 108.39 degrees
Sites, in units of the cell vectors:
Pr (0.4461, 0.8922, 0.6686)
Pr (0.2231, 0.4461, 0.3312)
Dy (0.1115, 0.2230, 0.6690)
Ho (0.6681, 0.3363, 0.9991)
Pr (0.5539, 0.1078, 0.3314)
Ho (0.3319, 0.6637, 0.0009)
Pr (0.7769, 0.5539, 0.6688)
Dy (0.8885, 0.7770, 0.3310)
Pm (0.0000, 0.0000, 0.0000)



# 11
Material: RbNa2In2Bi2
Method: DFT, PBE
State: relaxed

As for the formation energy: -0.253 eV per atom. The calculation puts the magnetization at 0.0 μB per formula unit. The value obtained for the total energy is -18.62 eV/cell.

Cell lengths 5.3554, 5.3554, 10.4562 Å; angles 75.16, 75.16, 60.00 degrees
Sites, in units of the cell vectors:
In (0.5526, 0.5526, 0.3422)
Na (0.8601, 0.8601, 0.4196)
Na (0.1399, 0.1399, 0.5804)
Rb (0.0000, 0.0000, 0.0000)
Bi (0.2471, 0.2471, 0.2586)
In (0.4474, 0.4474, 0.6578)
Bi (0.7529, 0.7529, 0.7414)



# 12
Material: Pr11Nd9Tm4
Method: DFT, PBE
State: relaxed

As for the formation energy: 0.054 eV per atom. The calculation puts the magnetization at 0.0 μB per formula unit. The value obtained for the total energy is -112.09 eV/cell.

Cell lengths 3.7032, 15.8225, 15.8225 Å; angles 114.17, 90.00, 90.00 degrees
Sites, in units of the cell vectors:
Nd (0.5000, 0.5000, 0.5000)
Pr (0.0000, 0.7104, 0.7104)
Nd (0.5000, 0.2129, 0.0623)
Nd (0.5000, 0.7871, 0.9377)
Pr (0.0000, 0.3708, 0.6292)
Pr (0.0000, 0.0000, 0.0000)
Nd (0.5000, 0.0623, 0.2129)
Nd (0.5000, 0.9377, 0.7871)
Nd (0.5000, 0.6257, 0.1662)
Nd (0.5000, 0.3743, 0.8338)
Tm (0.5000, 0.5585, 0.7611)
Tm (0.5000, 0.4415, 0.2389)
Pr (0.0000, 0.2896, 0.2896)
Tm (0.5000, 0.2389, 0.4415)
Pr (0.0000, 0.9590, 0.5984)
Nd (0.5000, 0.1662, 0.6257)
Tm (0.5000, 0.7611, 0.5585)
Pr (0.0000, 0.6292, 0.3708)
Nd (0.5000, 0.8338, 0.3743)
Pr (0.0000, 0.8351, 0.1649)
Pr (0.0000, 0.5984, 0.9590)
Pr (0.0000, 0.0410, 0.4016)
Pr (0.0000, 0.4016, 0.0410)
Pr (0.0000, 0.1649, 0.8351)